A plane-wave DFT calculation with PBE-GGA was carried out for a geometry-optimized PaNbRuO6 structure.

Cell and atoms, written as extended XYZ:
```
18
Lattice="5.541 0.000 0.000 -2.771 4.799 0.000 0.000 0.000 8.489" Properties=species:S:1:pos:R:3 pbc="T T T"
Pa 0.000 3.199 2.122
Pa 2.771 1.600 6.367
Nb 0.000 3.199 6.367
Nb 2.771 1.600 2.122
Ru 0.000 0.000 0.000
Ru 0.000 0.000 4.245
O -0.828 1.662 5.316
O -1.745 3.251 7.418
O 0.828 1.662 7.418
O -0.918 4.685 5.316
O 1.853 0.114 1.071
O 1.025 1.548 3.173
O 1.745 3.251 5.316
O 0.918 4.685 7.418
O 3.688 0.114 3.173
O 1.943 3.137 1.071
O 4.516 1.548 1.071
O 3.599 3.137 3.173
```

Values from the calculation:
formation energy (no corrections): -2.26 eV/atom



A plane-wave DFT calculation with PBE-GGA was carried out for a geometry-optimized CaEr3Sb4 structure.

Cell and atoms, written as extended XYZ:
```
8
Lattice="6.204 0.000 0.000 0.000 6.204 0.000 0.000 0.000 6.204" Properties=species:S:1:pos:R:3 pbc="T T T"
Ca 0.000 0.000 0.000
Er 0.000 3.102 3.102
Er 3.102 0.000 3.102
Er 3.102 3.102 0.000
Sb 0.000 0.000 3.102
Sb 0.000 3.102 0.000
Sb 3.102 0.000 0.000
Sb 3.102 3.102 3.102
```

Values from the calculation:
formation energy (no corrections): -0.99 eV/atom
DOS(E_F): 3.37 states/eV per cell



A plane-wave DFT calculation with PBE-GGA was carried out for a geometry-optimized Hf5CrGe5 structure.

Cell and atoms, written as extended XYZ:
```
11
Lattice="6.084 -2.667 0.000 6.084 2.667 0.000 -2.208 0.000 6.579" Properties=species:S:1:pos:R:3 pbc="T T T"
Hf 0.000 0.000 0.000
Hf 3.491 0.000 1.125
Hf 3.077 0.000 5.126
Hf 6.883 0.000 1.453
Hf 6.468 0.000 5.454
Cr -1.104 0.000 3.290
Ge 0.255 0.000 5.278
Ge 1.247 0.000 2.549
Ge 4.980 0.000 3.290
Ge 8.713 0.000 4.030
Ge 9.705 0.000 1.301
```

Values from the calculation:
DFT formation energy: -230 meV per atom
DOS(E_F): 5.92 states/eV per cell



| no. | DFT total energy (eV/atom) |
| --- | --- |
| 1 | -8.766 |
| 2 | -5.015 |
| 3 | -7.728 |